Crystalline KSrMo at its relaxed geometry, computed with PBEsol. Values from VASP.

Quantum ESPRESSO input file:
```
&SYSTEM
  ibrav = 0, nat = 3, ntyp = 3
/
ATOMIC_SPECIES
K 39.10 K.upf
Sr 87.62 Sr.upf
Mo 95.94 Mo.upf
CELL_PARAMETERS angstrom
0.000 3.958 3.958
3.958 0.000 3.958
3.958 3.958 0.000
ATOMIC_POSITIONS crystal
K 0.000 0.000 0.000
Sr 0.250 0.250 0.250
Mo 0.750 0.750 0.750
```

Summary:
Energy of formation from the pure elements in eV per atom: 1.965
SG: F-43m (216)
Size of the total moment in μB/f.u.: 4.7

Crystalline Zn2IrRu at its relaxed geometry, computed with PBEsol. Values from VASP.

Quantum ESPRESSO input file:
```
&SYSTEM
  ibrav = 0, nat = 4, ntyp = 3
/
ATOMIC_SPECIES
Zn 65.41 Zn.upf
Ir 192.22 Ir.upf
Ru 101.07 Ru.upf
CELL_PARAMETERS angstrom
4.248 0.000 0.000
0.000 4.248 0.000
0.000 0.000 2.946
ATOMIC_POSITIONS crystal
Zn 0.000 0.500 0.000
Zn 0.500 0.000 0.000
Ir 0.000 0.000 0.500
Ru 0.500 0.500 0.500
```

Summary:
Energy of formation from the pure elements in eV per atom: 0.044
SG: P4/mmm (123)
Size of the total moment in μB/f.u.: 0.0